Compound: K2Sb2Pb
Source: the Alexandria database
Functional: PBE
Structure: optimized geometry

Its final energy is -28.461 eV for the cell shown. The calculation puts the total magnetic moment at 0.0 Bohr magnetons per cell. The formation energy without anion corrections comes out at -0.016 eV/atom. As for the density of states at the Fermi level: 5.3 states/eV/cell.

The space group is P4/mbm (No. 127) and the conventional cell measures 10.139, 10.139 and 3.363 Å, with angles of 90.00, 90.00 and 90.00 degrees. The inequivalent atoms are K at (0.114, 0.386, 0.000), Sb at (0.185, 0.685, 0.500) and Pb at (0.000, 0.000, 0.000).



Compound: In2GaTeH
Source: the Alexandria database
Functional: PBE
Structure: optimized geometry

Its final energy is -14.610 eV for the cell shown. The calculation puts the total magnetic moment at 0.0 Bohr magnetons per cell. As for the density of states at the Fermi level: 2.0 states/eV/cell.

The space group is P4/mmm (No. 123) and the conventional cell measures 5.447, 5.447 and 3.850 Å, with angles of 90.00, 90.00 and 90.00 degrees. The inequivalent atoms are In at (0.000, 0.500, 0.000), Ga at (0.000, 0.000, 0.000), Te at (0.500, 0.500, 0.500) and H at (0.000, 0.000, 0.500).



Compound: Dy2Tl2In
Source: the Alexandria database
Functional: PBE
Structure: optimized geometry

Its final energy is -36.244 eV for the cell shown. The calculation puts the total magnetic moment at 0.0 Bohr magnetons per cell. Its formation enthalpy at 0 K is -0.289 eV/atom. As for the density of states at the Fermi level: 5.6 states/eV/cell.

The space group is P4/mbm (No. 127) and the conventional cell measures 7.725, 7.725 and 4.604 Å, with angles of 90.00, 90.00 and 90.00 degrees. The inequivalent atoms are Dy at (0.168, 0.332, 0.000), Tl at (0.136, 0.636, 0.500) and In at (0.000, 0.000, 0.500).